VASP calculation (PBE-GGA) on crystalline MgTi at its relaxed geometry.

* DOS(E_F): 2.830 states/eV per cell
* DFT formation energy: 0.21 eV per atom
* theoretical density: 3.1 g/cm3
* space group: No. 187

Unit cell a=2.9014 b=2.9014 c=5.2373 alpha=90.00 beta=90.00 gamma=120.00
Positions (direct):
Mg (0.0000, 0.0000, 0.0000)
Ti (0.6667, 0.3333, 0.5000)